Entry 1:
A plane-wave DFT calculation with GGA-PBEsol was carried out for a geometry-optimized BeCu2Pt structure.

Results
symmetry = No. 71
total moment = 0.000 Bohr magnetons per cell
calculated formation energy = -299 meV/atom

Lattice parameters (Å, degrees): 2.721 3.965 4.819 114.29 106.40 90.00
Atoms (fractional coordinates):
Be (0.500, 0.000, 0.000)
Pt (0.000, 0.500, 0.000)
Cu (0.776, 0.776, 0.552)
Cu (0.224, 0.224, 0.448)

***

Entry 2:
A plane-wave DFT calculation with GGA-PBEsol was carried out for a geometry-optimized BeCu2Pt structure.

Results
symmetry = No. 139
total moment = 0.000 Bohr magnetons per cell
calculated formation energy = -215 meV/atom

Lattice parameters (Å, degrees): 3.451 3.451 4.600 112.03 112.03 90.00
Atoms (fractional coordinates):
Be (0.000, 0.000, 0.000)
Cu (0.750, 0.250, 0.500)
Cu (0.250, 0.750, 0.500)
Pt (0.500, 0.500, 0.000)

***

Entry 3:
A plane-wave DFT calculation with GGA-PBEsol was carried out for a geometry-optimized BeCu2Pt structure.

Results
symmetry = No. 65
total moment = 0.000 Bohr magnetons per cell
calculated formation energy = -1 meV/atom

Lattice parameters (Å, degrees): 2.575 2.575 8.068 90.00 90.00 116.83
Atoms (fractional coordinates):
Be (0.500, 0.500, 0.000)
Cu (0.000, 0.000, 0.221)
Cu (0.000, 0.000, 0.779)
Pt (0.500, 0.500, 0.500)